1.
A plane-wave DFT calculation with PBE-GGA was carried out for a geometry-optimized Pm6CdBi2 structure.

Calculated values
For the calculated volume, the calculation gives 285.10 Å³ per cell. As for the formation energy: -4.11 eV/f.u. For the calculated density, the calculation gives 8156 kg/m³.

a = 4.247 Å, b = 8.804 Å, c = 8.804 Å
α = 120.00°, β = 90.00°, γ = 90.00°
Fractional coordinates of all 9 atoms:
1 Pm 0.000 0.000 0.000
2 Pm 0.000 0.470 0.734
3 Pm 0.000 0.734 0.470
4 Pm 0.500 0.138 0.735
5 Pm 0.500 0.332 0.332
6 Pm 0.500 0.735 0.138
7 Cd 0.500 0.735 0.735
8 Bi 0.000 0.068 0.401
9 Bi 0.000 0.401 0.068

2.
A plane-wave DFT calculation with PBE-GGA was carried out for a geometry-optimized PmCdBi2 structure.

Calculated values
For the calculated volume, the calculation gives 114.97 Å³ per cell. As for the formation energy: -1.77 eV/f.u. For the calculated density, the calculation gives 9755 kg/m³.

a = 5.119 Å, b = 5.119 Å, c = 4.388 Å
α = 90.00°, β = 90.00°, γ = 90.00°
Fractional coordinates of all 4 atoms:
1 Pm 0.000 0.000 0.000
2 Cd 0.500 0.500 0.000
3 Bi 0.000 0.500 0.500
4 Bi 0.500 0.000 0.500

3.
A plane-wave DFT calculation with PBE-GGA was carried out for a geometry-optimized Pm3CdBi structure.

Calculated values
For the calculated volume, the calculation gives 307.54 Å³ per cell. As for the formation energy: -2.01 eV/f.u. For the calculated density, the calculation gives 8168 kg/m³.

a = 11.447 Å, b = 11.447 Å, c = 5.259 Å
α = 90.00°, β = 90.00°, γ = 153.50°
Fractional coordinates of all 10 atoms:
1 Pm 0.056 0.944 0.750
2 Pm 0.249 0.751 0.750
3 Pm 0.440 0.560 0.750
4 Pm 0.560 0.440 0.250
5 Pm 0.751 0.249 0.250
6 Pm 0.944 0.056 0.250
7 Cd 0.153 0.847 0.250
8 Cd 0.847 0.153 0.750
9 Bi 0.344 0.656 0.250
10 Bi 0.656 0.344 0.750

4.
A plane-wave DFT calculation with PBE-GGA was carried out for a geometry-optimized Pm4CdBi2 structure.

Calculated values
For the calculated volume, the calculation gives 442.07 Å³ per cell. As for the formation energy: -3.10 eV/f.u. For the calculated density, the calculation gives 8342 kg/m³.

a = 6.334 Å, b = 6.785 Å, c = 10.632 Å
α = 90.00°, β = 104.66°, γ = 90.00°
Fractional coordinates of all 14 atoms:
1 Pm 0.028 0.012 0.258
2 Pm 0.028 0.488 0.258
3 Pm 0.353 0.750 0.533
4 Pm 0.446 0.750 0.146
5 Pm 0.554 0.250 0.854
6 Pm 0.647 0.250 0.467
7 Pm 0.972 0.512 0.742
8 Pm 0.972 0.988 0.742
9 Cd 0.429 0.750 0.827
10 Cd 0.571 0.250 0.173
11 Bi 0.130 0.250 0.005
12 Bi 0.205 0.250 0.551
13 Bi 0.795 0.750 0.449
14 Bi 0.870 0.750 0.995

5.
A plane-wave DFT calculation with PBE-GGA was carried out for a geometry-optimized PmCd2Bi3 structure.

Calculated values
For the calculated volume, the calculation gives 366.72 Å³ per cell. As for the formation energy: -1.51 eV/f.u. For the calculated density, the calculation gives 9027 kg/m³.

a = 4.508 Å, b = 12.299 Å, c = 6.614 Å
α = 90.00°, β = 90.00°, γ = 90.00°
Fractional coordinates of all 12 atoms:
1 Pm 0.000 0.120 0.000
2 Pm 0.000 0.880 0.500
3 Cd 0.000 0.204 0.493
4 Cd 0.000 0.796 0.993
5 Cd 0.500 0.459 0.540
6 Cd 0.500 0.541 0.040
7 Bi 0.000 0.376 0.838
8 Bi 0.000 0.624 0.338
9 Bi 0.500 0.048 0.676
10 Bi 0.500 0.291 0.196
11 Bi 0.500 0.709 0.696
12 Bi 0.500 0.952 0.176

6.
A plane-wave DFT calculation with PBE-GGA was carried out for a geometry-optimized PmCdBi structure.

Calculated values
For the calculated volume, the calculation gives 89.19 Å³ per cell. As for the formation energy: -1.29 eV/f.u. For the calculated density, the calculation gives 8683 kg/m³.

a = 4.837 Å, b = 4.837 Å, c = 4.401 Å
α = 90.00°, β = 90.00°, γ = 120.00°
Fractional coordinates of all 3 atoms:
1 Pm 0.000 0.000 0.000
2 Cd 0.333 0.667 0.678
3 Bi 0.667 0.333 0.416